1.
! PBE ZrZn2Pd5, optimized geometry; values from VASP
! Final energy = -5.16 eV per atom
! Symmetry = Pbam
&SYSTEM
  ibrav = 0, nat = 16, ntyp = 3
/
ATOMIC_SPECIES
Zr 91.22 Zr.upf
Zn 65.41 Zn.upf
Pd 106.42 Pd.upf
CELL_PARAMETERS angstrom
5.621 0.000 0.000
0.000 11.091 0.000
0.000 0.000 4.063
ATOMIC_POSITIONS crystal
Zr 0.000 0.000 0.000
Zr 0.500 0.500 0.000
Zn 0.199 0.360 0.500
Zn 0.301 0.860 0.500
Zn 0.699 0.140 0.500
Zn 0.801 0.640 0.500
Pd 0.000 0.500 0.000
Pd 0.052 0.760 0.000
Pd 0.227 0.117 0.500
Pd 0.273 0.617 0.500
Pd 0.448 0.260 0.000
Pd 0.500 0.000 0.000
Pd 0.552 0.740 0.000
Pd 0.727 0.383 0.500
Pd 0.773 0.883 0.500
Pd 0.948 0.240 0.000

2.
! PBE Ac2Pb, optimized geometry; values from VASP
! Final energy = -4.33 eV per atom
! E above lowest polymorph = 7.0 meV/atom
! Symmetry = Ibam
&SYSTEM
  ibrav = 0, nat = 12, ntyp = 2
/
ATOMIC_SPECIES
Ac 227.00 Ac.upf
Pb 207.20 Pb.upf
CELL_PARAMETERS angstrom
8.380 0.000 0.000
0.000 8.393 0.000
0.000 0.000 6.847
ATOMIC_POSITIONS crystal
Ac 0.161 0.162 0.000
Ac 0.161 0.838 0.500
Ac 0.339 0.338 0.500
Ac 0.339 0.662 0.000
Ac 0.661 0.338 0.000
Ac 0.661 0.662 0.500
Ac 0.839 0.162 0.500
Ac 0.839 0.838 0.000
Pb 0.000 0.500 0.250
Pb 0.000 0.500 0.750
Pb 0.500 0.000 0.250
Pb 0.500 0.000 0.750

3.
! PBE K2ZrHgRh, optimized geometry; values from VASP
! Final energy = -2.99 eV per atom
! Symmetry = P4/mmm
&SYSTEM
  ibrav = 0, nat = 5, ntyp = 4
/
ATOMIC_SPECIES
K 39.10 K.upf
Zr 91.22 Zr.upf
Hg 200.59 Hg.upf
Rh 102.91 Rh.upf
CELL_PARAMETERS angstrom
7.008 0.000 0.000
0.000 7.008 0.000
0.000 0.000 4.684
ATOMIC_POSITIONS crystal
K 0.000 0.500 0.000
K 0.500 0.000 0.000
Zr 0.000 0.000 0.000
Hg 0.500 0.500 0.500
Rh 0.000 0.000 0.500

4.
! PBE Sr3ZrRh, optimized geometry; values from VASP
! Final energy = -2.82 eV per atom
! E above lowest polymorph = 919.6 meV/atom
! Symmetry = Pm-3m
&SYSTEM
  ibrav = 0, nat = 5, ntyp = 3
/
ATOMIC_SPECIES
Sr 87.62 Sr.upf
Zr 91.22 Zr.upf
Rh 102.91 Rh.upf
CELL_PARAMETERS angstrom
5.912 0.000 0.000
0.000 5.912 0.000
0.000 0.000 5.912
ATOMIC_POSITIONS crystal
Sr 0.000 0.000 0.500
Sr 0.000 0.500 0.000
Sr 0.500 0.000 0.000
Zr 0.000 0.000 0.000
Rh 0.500 0.500 0.500

Number 1: energy of formation -0.532 eV/atom, total magnetization 0.00 μB/cell. Number 2: energy of formation -0.359 eV/atom, total magnetization 5.35 μB/cell. Number 3: energy of formation 0.685 eV/atom, total magnetization 0.00 μB/cell. Number 4: energy of formation 1.365 eV/atom, total magnetization 3.44 μB/cell.